[1]
VASP calculation (GGA-PBE) on crystalline ZrFeReSn at its relaxed geometry.

Results
Energy above the most stable polymorph in this dataset = 0 meV/atom

Cell lengths 4.5580, 4.5580, 4.5580 Å; angles 60.00, 60.00, 60.00 degrees
Fractional positions:
Zr (0.5000, 0.5000, 0.5000)
Re (0.2500, 0.2500, 0.2500)
Sn (0.0000, 0.0000, 0.0000)
Fe (0.7500, 0.7500, 0.7500)

---

[2]
VASP calculation (GGA-PBE) on crystalline Sr3Fe4Re at its relaxed geometry.

Results
Raw total energy = -0.358 Ry/atom

Cell lengths 5.6838, 5.6838, 5.6838 Å; angles 90.00, 90.00, 90.00 degrees
Each line ends with the local moment (μB).
Fractional positions:
Sr (0.5000, 0.5000, 0.0000)  -0.06
Fe (0.5000, 0.0000, 0.0000)  2.38
Fe (0.0000, 0.5000, 0.0000)  2.67
Sr (0.5000, 0.0000, 0.5000)  -0.10
Re (0.0000, 0.0000, 0.0000)  -1.15
Sr (0.0000, 0.5000, 0.5000)  -0.10
Fe (0.0000, 0.0000, 0.5000)  2.69
Fe (0.5000, 0.5000, 0.5000)  2.62

---

[3]
VASP calculation (GGA-PBE) on crystalline TaTlFeRe at its relaxed geometry.

Results
Energy above the most stable polymorph in this dataset = 0 meV/atom

Cell lengths 4.5195, 4.5195, 4.5195 Å; angles 60.00, 60.00, 60.00 degrees
Fractional positions:
Ta (0.5000, 0.5000, 0.5000)
Re (0.2500, 0.2500, 0.2500)
Tl (0.0000, 0.0000, 0.0000)
Fe (0.7500, 0.7500, 0.7500)